Computed, not measured: an optimized crystal structure of Gd3CdO at the GGA-PBE level of DFT.

Unit cell a=4.864 b=4.864 c=4.864 alpha=90.00 beta=90.00 gamma=90.00
Element x y z (fractional)
Gd 0.500 0.000 0.000
Gd 0.000 0.500 0.000
Gd 0.000 0.000 0.500
Cd 0.500 0.500 0.500
O 0.000 0.000 0.000

## Properties
Electronic total energy ... -10.909 eV/atom
Density ... 8.663 g/cm3